## NiPdI3 (GGA-PBEsol)

Data for a relaxed structure of NiPdI3.

a = 5.360 Å, b = 5.360 Å, c = 5.360 Å
α = 90.00°, β = 90.00°, γ = 90.00°
Each line ends with the local moment (μB).
Fractional coordinates of all 5 atoms:
I (0.500, 0.000, 0.000)  0.04
I (0.000, 0.000, 0.500)  0.04
Ni (0.500, 0.500, 0.500)  1.01
Pd (0.000, 0.000, 0.000)  0.01
I (0.000, 0.500, 0.000)  0.04

## Properties
Its total energy is -2.80 eV per atom. For the spin magnetization, the calculation gives 0.243 μB per atom. As for the density of states at the Fermi level: 13.03 states/eV per cell.